The following is a PBE calculation of a relaxed structure of Pm3ZrGe5, from Alexandria.

Unit cell a=6.020 b=8.884 c=8.884 alpha=120.00 beta=90.00 gamma=90.00
Atoms (fractional coordinates):
Pm: 0.750 0.385 0.000
Pm: 0.750 0.615 0.615
Pm: 0.750 0.000 0.385
Pm: 0.250 0.615 0.000
Pm: 0.250 0.385 0.385
Pm: 0.250 0.000 0.615
Zr: 0.000 0.000 0.000
Zr: 0.500 0.000 0.000
Ge: 0.000 0.333 0.667
Ge: 0.500 0.667 0.333
Ge: 0.000 0.667 0.333
Ge: 0.500 0.333 0.667
Ge: 0.750 0.733 0.000
Ge: 0.750 0.267 0.267
Ge: 0.750 0.000 0.733
Ge: 0.250 0.267 0.000
Ge: 0.250 0.733 0.733
Ge: 0.250 0.000 0.267

Properties
symmetry	P6_3/mcm, No. 193
DOS at the Fermi energy	0.701	states/eV per atom
energy	-5.758	eV per atom
energy relative to the elements	-0.66	eV per atom

***

The following is a PBE calculation of a relaxed structure of Pm3ZrGe3, from Alexandria.

Unit cell a=7.410 b=7.410 c=7.632 alpha=92.80 beta=92.80 gamma=112.61
Atoms (fractional coordinates):
Pm: 0.601 0.601 0.333
Pm: 0.164 0.836 0.500
Pm: 0.836 0.164 0.500
Pm: 0.237 0.763 0.000
Pm: 0.763 0.237 0.000
Pm: 0.399 0.399 0.667
Zr: 0.783 0.783 0.885
Zr: 0.217 0.217 0.115
Ge: 0.916 0.916 0.215
Ge: 0.863 0.515 0.706
Ge: 0.515 0.863 0.706
Ge: 0.137 0.485 0.294
Ge: 0.485 0.137 0.294
Ge: 0.084 0.084 0.785

Properties
symmetry	C2/m, No. 12
DOS at the Fermi energy	0.434	states/eV per atom
energy	-5.815	eV per atom
energy relative to the elements	-0.58	eV per atom

***

The following is a PBE calculation of a relaxed structure of Pm4ZrGe5, from Alexandria.

Unit cell a=5.903 b=7.232 c=7.232 alpha=80.41 beta=65.91 gamma=65.91
Atoms (fractional coordinates):
Pm: 0.406 0.396 0.794
Pm: 0.802 0.794 0.604
Pm: 0.200 0.206 0.396
Pm: 0.596 0.604 0.206
Zr: 0.001 0.000 0.000
Ge: 0.907 0.378 0.811
Ge: 0.284 0.811 0.622
Ge: 0.718 0.189 0.378
Ge: 0.095 0.622 0.189
Ge: 0.501 0.000 0.000

Properties
symmetry	I4/m, No. 87
DOS at the Fermi energy	0.609	states/eV per atom
energy	-5.740	eV per atom
energy relative to the elements	-0.68	eV per atom

***

The following is a PBE calculation of a relaxed structure of Pm5ZrGe4, from Alexandria.

Unit cell a=4.241 b=7.775 c=9.563 alpha=111.04 beta=102.81 gamma=90.00
Atoms (fractional coordinates):
Pm: 0.833 0.608 0.665
Pm: 0.837 0.126 0.673
Pm: 0.163 0.874 0.327
Pm: 0.500 0.500 0.000
Pm: 0.167 0.392 0.335
Zr: 0.500 0.000 0.000
Ge: 0.325 0.853 0.650
Ge: 0.997 0.763 0.995
Ge: 0.675 0.147 0.350
Ge: 0.003 0.237 0.005

Properties
symmetry	C2/m, No. 12
DOS at the Fermi energy	0.657	states/eV per atom
energy	-5.629	eV per atom
energy relative to the elements	-0.55	eV per atom

***

The following is a PBE calculation of a relaxed structure of Pm3ZrGe6, from Alexandria.

Unit cell a=7.711 b=7.711 c=7.711 alpha=97.31 beta=97.31 gamma=97.31
Atoms (fractional coordinates):
Pm: 0.182 0.750 0.318
Pm: 0.318 0.182 0.750
Pm: 0.250 0.682 0.818
Pm: 0.750 0.318 0.182
Pm: 0.682 0.818 0.250
Pm: 0.818 0.250 0.682
Zr: 0.000 0.000 0.000
Zr: 0.500 0.500 0.500
Ge: 0.910 0.632 0.988
Ge: 0.012 0.090 0.368
Ge: 0.132 0.410 0.488
Ge: 0.368 0.012 0.090
Ge: 0.410 0.488 0.132
Ge: 0.512 0.868 0.590
Ge: 0.488 0.132 0.410
Ge: 0.590 0.512 0.868
Ge: 0.632 0.988 0.910
Ge: 0.868 0.590 0.512
Ge: 0.988 0.910 0.632
Ge: 0.090 0.368 0.012

Properties
symmetry	R-3c, No. 167
DOS at the Fermi energy	0.528	states/eV per atom
energy	-5.730	eV per atom
energy relative to the elements	-0.68	eV per atom

***

The following is a PBE calculation of a relaxed structure of Pm5ZrGe6, from Alexandria.

Unit cell a=7.260 b=7.257 c=7.261 alpha=60.02 beta=80.37 gamma=70.45
Atoms (fractional coordinates):
Pm: 0.500 0.173 0.654
Pm: 0.000 0.335 0.331
Pm: 0.500 0.500 0.000
Pm: 0.000 0.665 0.669
Pm: 0.500 0.827 0.346
Zr: 0.000 0.000 0.000
Ge: 0.763 0.078 0.315
Ge: 0.237 0.607 0.315
Ge: 0.240 0.232 0.000
Ge: 0.760 0.768 0.000
Ge: 0.763 0.393 0.685
Ge: 0.237 0.922 0.685

Properties
symmetry	C2/m, No. 12
DOS at the Fermi energy	0.654	states/eV per atom
energy	-5.683	eV per atom
energy relative to the elements	-0.68	eV per atom

***

The following is a PBE calculation of a relaxed structure of PmZrGe2, from Alexandria.

Unit cell a=4.016 b=4.016 c=7.163 alpha=73.72 beta=73.72 gamma=60.00
Atoms (fractional coordinates):
Ge: 0.742 0.742 0.775
Ge: 0.258 0.258 0.225
Zr: 0.000 0.000 0.000
Pm: 0.500 0.500 0.500

Properties
symmetry	R-3m, No. 166
DOS at the Fermi energy	0.594	states/eV per atom
energy	-6.355	eV per atom
energy relative to the elements	-0.72	eV per atom

***

The following is a PBE calculation of a relaxed structure of PrGe4, from Alexandria.

Unit cell a=5.509 b=5.509 c=5.509 alpha=90.00 beta=90.00 gamma=90.00
Atoms (fractional coordinates):
Pr: 0.500 0.500 0.500
Ge: 0.000 0.000 0.000
Ge: 0.500 0.000 0.500
Ge: 0.000 0.500 0.500
Ge: 0.500 0.500 0.000

Properties
symmetry	Pm-3m, No. 221
DOS at the Fermi energy	1.074	states/eV per atom
energy	-3.640	eV per atom
energy relative to the elements	1.01	eV per atom

***

The following is a PBE calculation of a relaxed structure of PrGe2, from Alexandria.

Unit cell a=4.307 b=4.307 c=4.356 alpha=105.39 beta=105.39 gamma=91.65
Atoms (fractional coordinates):
Pr: 0.500 0.500 0.000
Ge: 0.116 0.116 0.300
Ge: 0.884 0.884 0.700

Properties
symmetry	C2/m, No. 12
DOS at the Fermi energy	0.450	states/eV per atom
energy	-5.156	eV per atom
energy relative to the elements	-0.48	eV per atom

***

The following is a PBE calculation of a relaxed structure of Pr5Ge4, from Alexandria.

Unit cell a=8.006 b=8.110 c=15.350 alpha=90.00 beta=90.00 gamma=90.00
Atoms (fractional coordinates):
Pr: 0.380 0.160 0.114
Pr: 0.880 0.340 0.386
Pr: 0.120 0.660 0.886
Pr: 0.620 0.840 0.614
Pr: 0.380 0.160 0.386
Pr: 0.880 0.340 0.114
Pr: 0.120 0.660 0.614
Pr: 0.620 0.840 0.886
Pr: 0.025 0.821 0.397
Pr: 0.525 0.679 0.103
Pr: 0.475 0.321 0.603
Pr: 0.975 0.179 0.897
Pr: 0.975 0.179 0.603
Pr: 0.475 0.321 0.897
Pr: 0.525 0.679 0.397
Pr: 0.025 0.821 0.103
Pr: 0.286 0.997 0.750
Pr: 0.786 0.503 0.750
Pr: 0.214 0.497 0.250
Pr: 0.714 0.003 0.250
Ge: 0.778 0.532 0.545
Ge: 0.278 0.968 0.955
Ge: 0.722 0.032 0.455
Ge: 0.222 0.468 0.045
Ge: 0.222 0.468 0.455
Ge: 0.722 0.032 0.045
Ge: 0.278 0.968 0.545
Ge: 0.778 0.532 0.955
Ge: 0.911 0.892 0.750
Ge: 0.411 0.608 0.750
Ge: 0.589 0.392 0.250
Ge: 0.089 0.108 0.250
Ge: 0.176 0.368 0.750
Ge: 0.676 0.132 0.750
Ge: 0.324 0.868 0.250
Ge: 0.824 0.632 0.250

Properties
symmetry	Pnma, No. 62
energy above the lowest structure with this stoichiometry	0	meV per atom
DOS at the Fermi energy	0.726	states/eV per atom
energy	-5.500	eV per atom
energy relative to the elements	-0.79	eV per atom

***

The following is a PBE calculation of a relaxed structure of Pr2Ge, from Alexandria.

Unit cell a=4.057 b=4.057 c=5.724 alpha=110.73 beta=110.73 gamma=89.95
Atoms (fractional coordinates):
Pr: 0.150 0.150 0.300
Pr: 0.850 0.850 0.700
Ge: 0.500 0.500 0.000

Properties
symmetry	I4/mmm, No. 139
DOS at the Fermi energy	0.953	states/eV per atom
energy	-5.175	eV per atom
energy relative to the elements	-0.45	eV per atom

***

The following is a PBE calculation of a relaxed structure of PrGe, from Alexandria.

Unit cell a=4.104 b=6.043 c=8.366 alpha=90.00 beta=90.00 gamma=90.00
Atoms (fractional coordinates):
Pr: 0.250 0.383 0.681
Pr: 0.750 0.617 0.319
Pr: 0.750 0.883 0.819
Pr: 0.250 0.117 0.181
Ge: 0.250 0.864 0.538
Ge: 0.750 0.136 0.462
Ge: 0.750 0.364 0.962
Ge: 0.250 0.636 0.038

Properties
symmetry	Pnma, No. 62
DOS at the Fermi energy	0.758	states/eV per atom
energy	-5.534	eV per atom
energy relative to the elements	-0.84	eV per atom

***

The following is a PBE calculation of a relaxed structure of Pr5Ge4, from Alexandria.

Unit cell a=4.504 b=6.086 c=9.987 alpha=75.43 beta=76.97 gamma=68.28
Atoms (fractional coordinates):
Pr: 0.100 0.192 0.608
Pr: 0.900 0.808 0.392
Pr: 0.752 0.662 0.833
Pr: 0.248 0.338 0.167
Pr: 0.000 0.000 0.000
Ge: 0.452 0.267 0.829
Ge: 0.548 0.733 0.171
Ge: 0.376 0.637 0.610
Ge: 0.624 0.363 0.390

Properties
symmetry	C2/m, No. 12
energy above the lowest structure with this stoichiometry	26	meV per atom
DOS at the Fermi energy	0.665	states/eV per atom
energy	-5.474	eV per atom
energy relative to the elements	-0.77	eV per atom

***

The following is a PBE calculation of a relaxed structure of Pr4Ge3, from Alexandria.

Unit cell a=8.020 b=8.020 c=8.020 alpha=109.47 beta=109.47 gamma=109.47
Atoms (fractional coordinates):
Pr: 0.130 0.500 0.000
Pr: 0.630 0.500 0.000
Pr: 0.500 0.000 0.630
Pr: 0.370 0.370 0.370
Pr: 0.500 0.000 0.130
Pr: 0.000 0.630 0.500
Pr: 0.870 0.870 0.870
Pr: 0.000 0.130 0.500
Ge: 0.375 0.625 0.750
Ge: 0.875 0.250 0.125
Ge: 0.625 0.750 0.375
Ge: 0.125 0.875 0.250
Ge: 0.250 0.125 0.875
Ge: 0.750 0.375 0.625

Properties
symmetry	I-43d, No. 220
DOS at the Fermi energy	0.098	states/eV per atom
energy	-5.511	eV per atom
energy relative to the elements	-0.80	eV per atom

***

The following is a PBE calculation of a relaxed structure of PrGe2, from Alexandria.

Unit cell a=4.190 b=6.188 c=6.188 alpha=83.94 beta=70.21 gamma=70.21
Atoms (fractional coordinates):
Pr: 0.500 0.750 0.750
Pr: 0.500 0.250 0.250
Ge: 0.839 0.161 0.661
Ge: 0.161 0.339 0.839
Ge: 0.161 0.839 0.339
Ge: 0.839 0.661 0.161

Properties
symmetry	Cmmm, No. 65
DOS at the Fermi energy	0.448	states/eV per atom
energy	-5.272	eV per atom
energy relative to the elements	-0.60	eV per atom

***

The following is a PBE calculation of a relaxed structure of Pr5Ge, from Alexandria.

Unit cell a=4.907 b=4.871 c=8.229 alpha=107.21 beta=90.00 gamma=90.00
Atoms (fractional coordinates):
Pr: 0.500 0.844 0.688
Pr: 0.000 0.656 0.312
Pr: 0.500 0.500 0.000
Pr: 0.000 0.344 0.688
Pr: 0.500 0.156 0.312
Ge: 0.000 0.000 0.000

Properties
symmetry	Cmmm, No. 65
DOS at the Fermi energy	1.269	states/eV per atom
energy	-4.925	eV per atom
energy relative to the elements	-0.17	eV per atom

***

The following is a PBE calculation of a relaxed structure of Pr4Ge7, from Alexandria.

Unit cell a=7.688 b=7.688 c=12.166 alpha=90.00 beta=90.00 gamma=133.48
Atoms (fractional coordinates):
Pr: 0.520 0.010 0.120
Pr: 0.010 0.520 0.880
Pr: 0.480 0.990 0.620
Pr: 0.990 0.480 0.380
Pr: 0.496 0.504 0.250
Pr: 0.504 0.496 0.750
Pr: 0.986 0.986 0.500
Pr: 0.014 0.014 0.000
Ge: 0.569 0.393 0.490
Ge: 0.393 0.569 0.510
Ge: 0.431 0.607 0.990
Ge: 0.607 0.431 0.010
Ge: 0.580 0.924 0.371
Ge: 0.924 0.580 0.629
Ge: 0.420 0.076 0.871
Ge: 0.076 0.420 0.129
Ge: 0.321 0.024 0.338
Ge: 0.024 0.321 0.662
Ge: 0.679 0.976 0.838
Ge: 0.976 0.679 0.162
Ge: 0.938 0.062 0.250
Ge: 0.062 0.938 0.750

Properties
symmetry	C222_1, No. 20
DOS at the Fermi energy	0.358	states/eV per atom
energy	-5.405	eV per atom
energy relative to the elements	-0.73	eV per atom

***

The following is a PBE calculation of a relaxed structure of Pr2Ge3, from Alexandria.

Unit cell a=4.250 b=5.882 c=5.882 alpha=66.45 beta=68.82 gamma=68.82
Atoms (fractional coordinates):
Pr: 0.776 0.724 0.724
Pr: 0.224 0.276 0.276
Ge: 0.000 0.000 0.000
Ge: 0.500 0.299 0.701
Ge: 0.500 0.701 0.299

Properties
symmetry	Immm, No. 71
DOS at the Fermi energy	0.289	states/eV per atom
energy	-5.413	eV per atom
energy relative to the elements	-0.73	eV per atom

***

The following is a PBE calculation of a relaxed structure of Pr3Ge5, from Alexandria.

Unit cell a=11.485 b=9.498 c=7.729 alpha=82.94 beta=55.15 gamma=41.90
Atoms (fractional coordinates):
Pr: 0.135 0.027 0.479
Pr: 0.479 0.358 0.135
Pr: 0.223 0.115 0.892
Pr: 0.892 0.771 0.223
Pr: 0.551 0.449 0.551
Pr: 0.801 0.699 0.801
Ge: 0.815 0.512 0.462
Ge: 0.462 0.212 0.815
Ge: 0.738 0.435 0.038
Ge: 0.038 0.788 0.738
Ge: 0.319 0.325 0.601
Ge: 0.601 0.755 0.319
Ge: 0.925 0.931 0.495
Ge: 0.495 0.649 0.925
Ge: 0.997 0.003 0.997
Ge: 0.247 0.253 0.247

Properties
symmetry	Fdd2, No. 43
DOS at the Fermi energy	0.411	states/eV per atom
energy	-5.422	eV per atom
energy relative to the elements	-0.74	eV per atom

***

The following is a PBE calculation of a relaxed structure of PrGe2, from Alexandria.

Unit cell a=8.580 b=8.564 c=8.564 alpha=151.56 beta=151.58 gamma=40.62
Atoms (fractional coordinates):
Pr: 0.624 0.375 0.249
Pr: 0.376 0.625 0.751
Ge: 0.045 0.795 0.250
Ge: 0.955 0.205 0.750
Ge: 0.206 0.955 0.251
Ge: 0.794 0.045 0.749

Properties
symmetry	C2/m, No. 12
DOS at the Fermi energy	0.316	states/eV per atom
energy	-5.297	eV per atom
energy relative to the elements	-0.63	eV per atom

***

The following is a PBE calculation of a relaxed structure of Pr5Ge2, from Alexandria.

Unit cell a=6.657 b=8.102 c=8.812 alpha=97.00 beta=112.20 gamma=90.00
Atoms (fractional coordinates):
Pr: 0.211 0.427 0.186
Pr: 0.025 0.073 0.814
Pr: 0.172 0.695 0.556
Pr: 0.616 0.805 0.444
Pr: 0.828 0.305 0.444
Pr: 0.384 0.195 0.556
Pr: 0.975 0.927 0.186
Pr: 0.789 0.573 0.814
Pr: 0.608 0.250 0.000
Pr: 0.392 0.750 0.000
Ge: 0.204 0.417 0.788
Ge: 0.415 0.083 0.212
Ge: 0.796 0.583 0.212
Ge: 0.585 0.917 0.788

Properties
symmetry	C2/c, No. 15
DOS at the Fermi energy	1.176	states/eV per atom
energy	-5.230	eV per atom
energy relative to the elements	-0.50	eV per atom